Density functional theory data (PBE-GGA) for a relaxed Pr2GaH crystal.

```
Pr2GaH
1.0
3.4215 0.0000 0.0000
0.0000 3.4215 0.0000
0.0000 0.0000 7.4484
Pr Ga H
2 1 1
Cartesian
0.0000 0.0000 1.7381
0.0000 0.0000 5.7103
1.7108 1.7108 3.7242
1.7108 1.7108 0.0000
```

- V: 21.8 A^3/atom
- Calculated total energy: -4.2301 eV per atom
- Calculated density: 6.71 Mg/m³
- Polymorph energy (0 for the lowest one): 0.241 eV/atom
- Spin magnetization: 0.0 μB/f.u.



Density functional theory data (PBE-GGA) for a relaxed Cs3PdRu crystal.

```
Cs3PdRu
1.0
5.7677 0.0000 0.0000
0.0000 5.7677 0.0000
0.0000 0.0000 5.7677
Cs Pd Ru
3 1 1
Cartesian
0.0000 0.0000 2.8839
0.0000 2.8839 0.0000
2.8839 0.0000 0.0000
2.8839 2.8839 2.8839
0.0000 0.0000 0.0000
```

- Energy of formation: 0.993 eV/atom
- V: 38.4 A^3/atom
- Calculated total energy: -2.4130 eV per atom
- Calculated density: 5.25 Mg/m³
- Polymorph energy (0 for the lowest one): 0.000 eV/atom
- Spin magnetization: 0.3 μB/f.u.



Density functional theory data (PBE-GGA) for a relaxed LiTlGaPd crystal.

```
LiTlGaPd
1.0
0.0000 3.2737 3.2737
3.2737 0.0000 3.2737
3.2737 3.2737 0.0000
Li Tl Ga Pd
1 1 1 1
Cartesian
0.0000 0.0000 0.0000
1.6369 1.6369 1.6369
4.9106 4.9106 4.9106
3.2737 3.2737 3.2737
```

- Energy of formation: -0.313 eV/atom
- V: 17.5 A^3/atom
- Calculated total energy: -3.4375 eV per atom
- Calculated density: 9.17 Mg/m³
- Spin magnetization: 0.0 μB/f.u.



Density functional theory data (PBE-GGA) for a relaxed Tl2CdRe crystal.

```
Tl2CdRe
1.0
-1.4404 2.4612 7.1444
1.4404 -2.4612 7.1444
1.4404 2.4612 -7.1444
Tl Cd Re
2 1 1
Cartesian
0.0000 0.0000 2.5166
0.0000 0.0000 11.7722
0.0000 2.4612 0.0000
1.4404 0.0000 0.0000
```

- Energy of formation: 0.651 eV/atom
- V: 25.3 A^3/atom
- Calculated total energy: -3.8727 eV per atom
- Calculated density: 11.59 Mg/m³
- Polymorph energy (0 for the lowest one): 0.000 eV/atom
- Spin magnetization: 0.0 μB/f.u.



Density functional theory data (PBE-GGA) for a relaxed SmPuU2Sb4 crystal.

```
SmPuU2Sb4
1.0
7.6073 0.0000 0.0000
0.0000 4.3591 0.0000
-0.0131 0.0000 7.6363
Sm Pu U Sb
1 1 2 4
Cartesian
0.0000 0.0000 0.0000
3.7971 2.1796 3.8182
-0.0065 0.0000 3.8182
3.8037 2.1796 0.0000
1.2680 2.1796 5.7068
2.5324 0.0000 1.8938
5.0619 0.0000 5.7425
6.3263 2.1796 1.9295
```

- V: 31.7 A^3/atom
- Calculated total energy: -7.6444 eV per atom
- Calculated density: 8.90 Mg/m³
- Spin magnetization: 0.4 μB/f.u.



Density functional theory data (PBE-GGA) for a relaxed Pr2ThRuN4 crystal.

```
Pr2ThRuN4
1.0
1.7420 -6.0478 0.0000
1.7420 6.0478 0.0000
0.0000 0.0000 12.0613
Pr Th Ru N
4 2 2 8
Cartesian
1.7420 4.4615 6.6354
1.7420 4.4615 11.4565
1.7420 -4.4615 0.6047
1.7420 -4.4615 5.4259
1.7420 1.3234 9.0460
1.7420 -1.3234 3.0153
1.7420 1.8414 3.0153
1.7420 -1.8414 9.0460
1.7420 5.5151 9.0460
1.7420 3.4008 1.6851
1.7420 3.4008 4.3455
1.7420 0.0000 0.0000
1.7420 0.0000 6.0306
1.7420 -3.4008 7.7158
1.7420 -3.4008 10.3762
1.7420 -5.5151 3.0153
```

- V: 15.9 A^3/atom
- Calculated total energy: -8.3440 eV per atom
- Calculated density: 8.77 Mg/m³
- Spin magnetization: 0.0 μB/f.u.



> Which of these has the highest calculated density?

Tl2CdRe



> What is the calculated total energy in the sixth record?

-8.3440 eV per atom